A plane-wave DFT calculation with PBE was carried out for KSr2NpO6 after structural relaxation.

Unit cell a=6.052 b=6.399 c=10.652 alpha=90.00 beta=123.32 gamma=90.00
Space group P2_1/c (No. 14)
Asymmetric unit:
K1 0.000 0.000 0.000 [2 per cell]
Sr1 0.214 0.038 0.726 [4 per cell]
Np1 0.500 0.000 0.500 [2 per cell]
O1 0.190 0.158 0.473 [4 per cell]
O2 0.239 0.740 0.889 [4 per cell]
O3 0.430 0.110 0.302 [4 per cell]

Properties
formation energy (no corrections): -2711 meV per atom
electronic total energy: -74.264 eV/f.u.